CoRhO4 | PBE+U | relaxed

Unit cell a=5.987 b=5.987 c=4.823 alpha=112.62 beta=112.62 gamma=48.55
Sites, in units of the cell vectors:
Co 0.172 0.828 0.750
Co 0.828 0.172 0.250
Rh 0.000 0.500 0.000
Rh 0.500 0.000 0.500
O 0.020 0.798 0.324
O 0.202 0.980 0.176
O 0.232 0.451 0.745
O 0.451 0.232 0.245
O 0.549 0.768 0.755
O 0.768 0.549 0.255
O 0.798 0.020 0.824
O 0.980 0.202 0.676

Results
Total energy   -5.854 eV per atom